[1]
VASP calculation (GGA-PBE) on crystalline BAsPd at its relaxed geometry.

abc: 10.8191 3.0531 5.8710
angles: 90.00 116.46 90.00
Space group Cm (No. 8)
One atom of each set of equivalent atoms:
B 0.0000 0.0000 0.0000 x2
B 0.0647 0.5000 0.0066 x2
As 0.1204 0.5000 0.6944 x2
As 0.2727 0.5000 0.3198 x2
Pd 0.3181 0.0000 0.7217 x2
Pd 0.4370 0.0000 0.2370 x2

Summary:
* relative energy among the computed polymorphs: 56 meV per atom
* spin magnetization: 0.0 μB/cell
* DFT formation energy: 2 kJ/mol of atoms

***

[2]
VASP calculation (GGA-PBE) on crystalline Co3Ni4Rh at its relaxed geometry.

abc: 17.0428 2.5486 4.3605
angles: 90.00 104.71 90.00
Space group C2/m (No. 12)
One atom of each set of equivalent atoms:
Co 0.0000 0.0000 0.0000 x2
Co 0.2500 0.0000 0.2487 x4
Ni 0.1273 0.5000 0.9678 x4
Ni 0.1287 0.0000 0.4632 x4
Rh 0.0000 0.5000 0.5000 x2

Summary:
* spin magnetization: 17.2 μB/cell
* DFT formation energy: 3 kJ/mol of atoms

***

no.,electronic total energy (eV/atom)
1,-5.48
2,-6.44